# Zn2TcHg2 GGA-PBE optimized geometry
data_Zn2TcHg2
_chemical_formula_sum 'Zn4 Tc2 Hg4'
_cell_length_a 6.755
_cell_length_b 6.755
_cell_length_c 3.941
_cell_angle_alpha 90.00
_cell_angle_beta 90.00
_cell_angle_gamma 90.00
_space_group_name_H-M_alt 'P 4/m b m'
_space_group_IT_number 127
_space_group_name_Hall '-P 4 2ab'
loop_
_atom_site_label
_atom_site_fract_x
_atom_site_fract_y
_atom_site_fract_z
Zn1 0.133 0.367 0.000
Tc1 0.000 0.000 0.000
Hg1 0.179 0.679 0.500
# total moment: 0.000 μB/cell
# E above lowest polymorph: 0.000 eV/atom
# crystal system: tetragonal
# DOS(E_F): 0.965 states/eV/atom
# formation energy: 491 meV per atom

=====

# ZnTcHg GGA-PBE optimized geometry
data_ZnTcHg
_chemical_formula_sum 'Zn1 Tc1 Hg1'
_cell_length_a 2.9024
_cell_length_b 2.9024
_cell_length_c 7.0113
_cell_angle_alpha 90.00
_cell_angle_beta 90.00
_cell_angle_gamma 120.00
_space_group_name_H-M_alt 'P 3 m 1'
_space_group_IT_number 156
loop_
_space_group_symop_operation_xyz
'x,y,z'
'-y,x-y,z'
'-x+y,-x,z'
'-y,-x,z'
'-x+y,y,z'
'x,x-y,z'
loop_
_atom_site_label
_atom_site_fract_x
_atom_site_fract_y
_atom_site_fract_z
Zn1 0.0000 0.0000 0.0000
Tc1 0.3333 0.6667 0.7037
Hg1 0.6667 0.3333 0.3579
# total moment: 0.454 μB/cell
# E above lowest polymorph: 0.333 eV/atom
# crystal system: trigonal
# DOS(E_F): 0.866 states/eV/atom
# formation energy: 413 meV per atom

=====

# ZnTcHg2 GGA-PBE optimized geometry
data_ZnTcHg2
_chemical_formula_sum 'Zn1 Tc1 Hg2'
_cell_length_a 4.154
_cell_length_b 4.154
_cell_length_c 4.147
_cell_angle_alpha 90.00
_cell_angle_beta 90.00
_cell_angle_gamma 90.00
_space_group_name_H-M_alt 'P 4/m m m'
_space_group_IT_number 123
_space_group_name_Hall '-P 4 2'
loop_
_atom_site_label
_atom_site_fract_x
_atom_site_fract_y
_atom_site_fract_z
Zn1 0.000 0.000 0.000
Tc1 0.500 0.500 0.000
Hg1 0.000 0.500 0.500
# total moment: 1.110 μB/cell
# crystal system: tetragonal
# DOS(E_F): 0.353 states/eV/atom
# formation energy: 390 meV per atom

=====

# ZnTcHg GGA-PBE optimized geometry
data_ZnTcHg
_chemical_formula_sum 'Zn2 Tc2 Hg2'
_cell_length_a 2.810
_cell_length_b 3.453
_cell_length_c 10.402
_cell_angle_alpha 90.00
_cell_angle_beta 90.00
_cell_angle_gamma 90.00
_space_group_name_H-M_alt 'I m m 2'
_space_group_IT_number 44
loop_
_space_group_symop_operation_xyz
'x,y,z'
'-x,-y,z'
'-x,y,z'
'x,-y,z'
'x+1/2,y+1/2,z+1/2'
'-x+1/2,-y+1/2,z+1/2'
'-x+1/2,y+1/2,z+1/2'
'x+1/2,-y+1/2,z+1/2'
loop_
_atom_site_label
_atom_site_fract_x
_atom_site_fract_y
_atom_site_fract_z
Zn1 0.000 0.000 0.000
Tc1 0.000 0.000 0.363
Hg1 0.000 0.000 0.678
# total moment: 0.002 μB/cell
# E above lowest polymorph: 0.377 eV/atom
# crystal system: orthorhombic
# DOS(E_F): 0.943 states/eV/atom
# formation energy: 456 meV per atom

=====

# ZnTcHg GGA-PBE optimized geometry
data_ZnTcHg
_chemical_formula_sum 'Zn2 Tc2 Hg2'
_cell_length_a 2.987
_cell_length_b 2.987
_cell_length_c 12.266
_cell_angle_alpha 90.00
_cell_angle_beta 90.00
_cell_angle_gamma 90.00
_space_group_name_H-M_alt 'P 4/n m m'
_space_group_IT_number 129
loop_
_space_group_symop_operation_xyz
'x,y,z'
'-x,-y,-z'
'-y+1/2,x,z'
'y+1/2,-x,-z'
'-x+1/2,-y+1/2,z'
'x+1/2,y+1/2,-z'
'y,-x+1/2,z'
'-y,x+1/2,-z'
'x+1/2,-y,-z'
'-x+1/2,y,z'
'-y,-x,-z'
'y,x,z'
'-x,y+1/2,-z'
'x,-y+1/2,z'
'y+1/2,x+1/2,-z'
'-y+1/2,-x+1/2,z'
loop_
_atom_site_label
_atom_site_fract_x
_atom_site_fract_y
_atom_site_fract_z
Zn1 0.250 0.250 0.200
Tc1 0.250 0.250 0.941
Hg1 0.250 0.250 0.612
# total moment: 0.000 μB/cell
# E above lowest polymorph: 0.000 eV/atom
# crystal system: tetragonal
# DOS(E_F): 0.516 states/eV/atom
# formation energy: 79 meV per atom

=====

# Zn2TcHg GGA-PBE optimized geometry
data_Zn2TcHg
_chemical_formula_sum 'Zn4 Tc2 Hg2'
_cell_length_a 3.812
_cell_length_b 3.812
_cell_length_c 8.917
_cell_angle_alpha 90.00
_cell_angle_beta 90.00
_cell_angle_gamma 90.00
_space_group_name_H-M_alt 'I -4 m 2'
_space_group_IT_number 119
_space_group_name_Hall 'I -4 -2'
loop_
_atom_site_label
_atom_site_fract_x
_atom_site_fract_y
_atom_site_fract_z
Zn1 0.000 0.000 0.000
Zn2 0.000 0.500 0.250
Tc1 0.000 0.500 0.750
Hg1 0.000 0.000 0.500
# total moment: 1.305 μB/cell
# crystal system: tetragonal
# DOS(E_F): 0.623 states/eV/atom
# formation energy: 312 meV per atom

=====

# Zn2TcHg GGA-PBE optimized geometry
data_Zn2TcHg
_chemical_formula_sum 'Zn4 Tc2 Hg2'
_cell_length_a 5.737
_cell_length_b 9.204
_cell_length_c 2.794
_cell_angle_alpha 90.00
_cell_angle_beta 117.28
_cell_angle_gamma 90.00
_space_group_name_H-M_alt 'C 1 2/m 1'
_space_group_IT_number 12
loop_
_space_group_symop_operation_xyz
'x,y,z'
'-x,-y,-z'
'-x,y,-z'
'x,-y,z'
'x+1/2,y+1/2,z'
'-x+1/2,-y+1/2,-z'
'-x+1/2,y+1/2,-z'
'x+1/2,-y+1/2,z'
loop_
_atom_site_label
_atom_site_fract_x
_atom_site_fract_y
_atom_site_fract_z
Zn1 0.250 0.250 0.000
Tc1 0.000 0.000 0.500
Hg1 0.000 0.500 0.500
# total moment: 0.000 μB/cell
# crystal system: monoclinic
# DOS(E_F): 0.387 states/eV/atom
# formation energy: 291 meV per atom

=====

# Zn2TcHg2 GGA-PBE optimized geometry
data_Zn2TcHg2
_chemical_formula_sum 'Zn4 Tc2 Hg4'
_cell_length_a 3.966
_cell_length_b 3.966
_cell_length_c 12.365
_cell_angle_alpha 90.00
_cell_angle_beta 90.00
_cell_angle_gamma 90.00
_space_group_name_H-M_alt 'I 4/m m m'
_space_group_IT_number 139
_space_group_name_Hall '-I 4 2'
loop_
_atom_site_label
_atom_site_fract_x
_atom_site_fract_y
_atom_site_fract_z
Zn1 0.000 0.000 0.093
Tc1 0.000 0.000 0.500
Hg1 0.000 0.500 0.250
# total moment: 4.579 μB/cell
# E above lowest polymorph: 0.206 eV/atom
# crystal system: tetragonal
# DOS(E_F): 0.535 states/eV/atom
# formation energy: 696 meV per atom